Material: AcCu5P3
Method: DFT, GGA-PBE
State: relaxed

abc: 6.440 6.440 11.757
angles: 90.00 90.00 144.78
Atoms (fractional coordinates):
Ac: 0.166 0.834 0.750
Ac: 0.834 0.166 0.250
Cu: 0.000 0.000 0.000
Cu: 0.000 0.000 0.500
Cu: 0.191 0.809 0.063
Cu: 0.191 0.809 0.437
Cu: 0.446 0.554 0.644
Cu: 0.446 0.554 0.856
Cu: 0.554 0.446 0.144
Cu: 0.554 0.446 0.356
Cu: 0.809 0.191 0.563
Cu: 0.809 0.191 0.937
P: 0.114 0.886 0.250
P: 0.379 0.621 0.048
P: 0.379 0.621 0.452
P: 0.621 0.379 0.548
P: 0.621 0.379 0.952
P: 0.886 0.114 0.750

* crystal system: orthorhombic
* energy of formation from the pure elements: -427 meV/atom

---

Material: Sr2LaMgRu
Method: DFT, GGA-PBE
State: relaxed

abc: 6.023 6.023 5.187
angles: 90.00 90.00 90.00
Atoms (fractional coordinates):
Sr: 0.000 0.500 0.000
Sr: 0.500 0.000 0.000
La: 0.000 0.000 0.500
Mg: 0.500 0.500 0.500
Ru: 0.000 0.000 0.000

* crystal system: tetragonal
* energy of formation from the pure elements: 47 meV/atom

---

Material: Zn2CrIn
Method: DFT, GGA-PBE
State: relaxed

abc: 3.210 3.560 6.056
angles: 90.00 90.00 90.00
Atoms (fractional coordinates):
Zn: 0.000 0.000 0.000
Zn: 0.500 0.500 0.216
Cr: 0.000 0.000 0.444
In: 0.500 0.500 0.712

* crystal system: orthorhombic
* energy of formation from the pure elements: 233 meV/atom

---

Material: La2TbY4
Method: DFT, GGA-PBE
State: relaxed

abc: 9.592 9.592 9.592
angles: 146.29 146.29 48.42
Atoms (fractional coordinates):
La: 0.126 0.126 0.000
La: 0.874 0.874 0.000
Tb: 0.500 0.500 0.000
Y: 0.000 0.500 0.500
Y: 0.325 0.325 0.000
Y: 0.500 0.000 0.500
Y: 0.675 0.675 0.000

* crystal system: tetragonal
* offset from the most stable computed form: 398.8 meV/atom
* energy of formation from the pure elements: 615 meV/atom

---

Material: Li5Au3
Method: DFT, GGA-PBE
State: relaxed

abc: 5.462 5.462 4.225
angles: 90.00 90.00 100.32
Atoms (fractional coordinates):
Li: 0.000 0.000 0.000
Li: 0.000 0.500 0.000
Li: 0.268 0.268 0.500
Li: 0.500 0.000 0.000
Li: 0.732 0.732 0.500
Au: 0.233 0.767 0.500
Au: 0.500 0.500 0.000
Au: 0.767 0.233 0.500

* crystal system: orthorhombic
* offset from the most stable computed form: 0.0 meV/atom
* energy of formation from the pure elements: -480 meV/atom

---

Material: KAg2Ge
Method: DFT, GGA-PBE
State: relaxed

abc: 9.367 9.367 9.367
angles: 145.73 145.73 49.25
Atoms (fractional coordinates):
K: 0.375 0.625 0.750
K: 0.625 0.375 0.250
Ag: 0.000 0.000 0.000
Ag: 0.000 0.000 0.500
Ag: 0.000 0.500 0.000
Ag: 0.500 0.000 0.500
Ge: 0.125 0.875 0.250
Ge: 0.875 0.125 0.750

* crystal system: tetragonal
* energy of formation from the pure elements: 141 meV/atom

---

Material: Pm12Mg3Rh5
Method: DFT, GGA-PBE
State: relaxed

abc: 15.155 15.155 15.155
angles: 109.47 109.47 109.47
Atoms (fractional coordinates):
Pm: 0.028 0.205 0.115
Pm: 0.028 0.323 0.913
Pm: 0.087 0.615 0.410
Pm: 0.087 0.972 0.677
Pm: 0.090 0.705 0.677
Pm: 0.090 0.885 0.413
Pm: 0.115 0.028 0.205
Pm: 0.115 0.587 0.910
Pm: 0.177 0.205 0.590
Pm: 0.177 0.472 0.587
Pm: 0.205 0.115 0.028
Pm: 0.205 0.590 0.177
Pm: 0.295 0.323 0.910
Pm: 0.295 0.472 0.385
Pm: 0.323 0.910 0.295
Pm: 0.323 0.913 0.028
Pm: 0.385 0.295 0.472
Pm: 0.385 0.590 0.913
Pm: 0.410 0.087 0.615
Pm: 0.410 0.823 0.795
Pm: 0.413 0.090 0.885
Pm: 0.413 0.823 0.528
Pm: 0.472 0.385 0.295
Pm: 0.472 0.587 0.177
Pm: 0.528 0.413 0.823
Pm: 0.528 0.615 0.705
Pm: 0.587 0.177 0.472
Pm: 0.587 0.910 0.115
Pm: 0.590 0.177 0.205
Pm: 0.590 0.913 0.385
Pm: 0.615 0.410 0.087
Pm: 0.615 0.705 0.528
Pm: 0.677 0.087 0.972
Pm: 0.677 0.090 0.705
Pm: 0.705 0.528 0.615
Pm: 0.705 0.677 0.090
Pm: 0.795 0.410 0.823
Pm: 0.795 0.885 0.972
Pm: 0.823 0.528 0.413
Pm: 0.823 0.795 0.410
Pm: 0.885 0.413 0.090
Pm: 0.885 0.972 0.795
Pm: 0.910 0.115 0.587
Pm: 0.910 0.295 0.323
Pm: 0.913 0.028 0.323
Pm: 0.913 0.385 0.590
Pm: 0.972 0.677 0.087
Pm: 0.972 0.795 0.885
Mg: 0.125 0.250 0.375
Mg: 0.125 0.375 0.750
Mg: 0.250 0.375 0.125
Mg: 0.250 0.875 0.625
Mg: 0.375 0.125 0.250
Mg: 0.375 0.750 0.125
Mg: 0.625 0.250 0.875
Mg: 0.625 0.875 0.750
Mg: 0.750 0.125 0.375
Mg: 0.750 0.625 0.875
Mg: 0.875 0.625 0.250
Mg: 0.875 0.750 0.625
Rh: 0.000 0.000 0.000
Rh: 0.000 0.000 0.500
Rh: 0.000 0.500 0.000
Rh: 0.000 0.500 0.500
Rh: 0.125 0.750 0.875
Rh: 0.125 0.875 0.250
Rh: 0.250 0.125 0.875
Rh: 0.250 0.625 0.375
Rh: 0.375 0.250 0.625
Rh: 0.375 0.625 0.750
Rh: 0.500 0.000 0.000
Rh: 0.500 0.000 0.500
Rh: 0.500 0.500 0.000
Rh: 0.500 0.500 0.500
Rh: 0.625 0.375 0.250
Rh: 0.625 0.750 0.375
Rh: 0.750 0.375 0.625
Rh: 0.750 0.875 0.125
Rh: 0.875 0.125 0.750
Rh: 0.875 0.250 0.125

* crystal system: cubic
* energy of formation from the pure elements: -33 meV/atom

---

Material: LiZnTe2
Method: DFT, GGA-PBE
State: relaxed

abc: 4.086 4.106 5.722
angles: 90.00 90.00 90.00
Atoms (fractional coordinates):
Li: 0.000 0.000 0.000
Zn: 0.000 0.500 0.500
Te: 0.500 0.000 0.500
Te: 0.500 0.500 0.000

* E_form (uncorrected): -0.22 eV per atom
* crystal system: orthorhombic

---

Material: Na2AlAsS4
Method: DFT, GGA-PBE
State: relaxed

abc: 8.878 7.636 5.879
angles: 90.00 90.00 90.00
Atoms (fractional coordinates):
Na: 0.243 0.163 0.000
Na: 0.257 0.837 0.500
Na: 0.743 0.837 0.500
Na: 0.757 0.163 0.000
Al: 0.000 0.355 0.541
Al: 0.500 0.645 0.041
As: 0.000 0.681 0.031
As: 0.500 0.319 0.531
S: 0.000 0.397 0.932
S: 0.000 0.642 0.418
S: 0.212 0.203 0.480
S: 0.288 0.797 0.980
S: 0.500 0.358 0.918
S: 0.500 0.603 0.432
S: 0.712 0.797 0.980
S: 0.788 0.203 0.480

* E_form (uncorrected): -0.83 eV per atom
* crystal system: orthorhombic

---

Material: Ba2RuPbN
Method: DFT, GGA-PBE
State: relaxed

abc: 6.037 6.037 3.829
angles: 90.00 90.00 90.00
Atoms (fractional coordinates):
Ba: 0.000 0.500 0.000
Ba: 0.500 0.000 0.000
Ru: 0.000 0.000 0.500
Pb: 0.500 0.500 0.500
N: 0.000 0.000 0.000

* E_form (uncorrected): -0.29 eV per atom
* crystal system: tetragonal

---

Material: VPBrN
Method: DFT, GGA-PBE
State: relaxed

abc: 3.359 3.359 7.603
angles: 102.50 102.50 60.65
Atoms (fractional coordinates):
V: 0.000 0.000 0.000
P: 0.408 0.408 0.223
Br: 0.891 0.891 0.666
N: 0.331 0.331 0.983

* E_form (uncorrected): -0.35 eV per atom
* crystal system: monoclinic
* offset from the most stable computed form: 17.2 meV/atom

---

Material: Rb2TlHgP
Method: DFT, GGA-PBE
State: relaxed

abc: 6.643 6.643 5.450
angles: 90.00 90.00 90.00
Atoms (fractional coordinates):
Rb: 0.000 0.500 0.000
Rb: 0.500 0.000 0.000
Tl: 0.000 0.000 0.500
Hg: 0.500 0.500 0.500
P: 0.000 0.000 0.000

* crystal system: tetragonal
* energy of formation from the pure elements: -56 meV/atom

---

Results for density of states at the Fermi level: 4.91, 4.62, 1.55, 9.73, 2.70, 8.73, 82.76, 1.42, 0.00, 3.66, 2.33, 3.67 (in states/eV/cell, following the order of the records).